Crystalline RbSr2Hg at its relaxed geometry, computed with GGA-PBE.

Output
The value obtained for the total energy is -1.296 eV per atom. The energy of formation is -0.14 eV per atom.

Unit cell a=4.5884 b=4.5884 c=38.0083 alpha=90.00 beta=90.00 gamma=120.00
Space group R-3m (No. 166, hexagonal axes)
Symmetry-distinct sites (fractional):
Rb (0.0000, 0.0000, 0.0000) (multiplicity 3)
Sr (0.0000, 0.0000, 0.1162) (multiplicity 6)
Hg (0.0000, 0.0000, 0.5000) (multiplicity 3)